The following is a PBE-GGA calculation of an optimized crystal structure of CePuTlI6, from the Alexandria database.

Unit cell a=8.101 b=8.101 c=15.560 alpha=90.00 beta=90.00 gamma=120.00
Fractional coordinates of all 18 atoms:
Ce: 0.333 0.667 0.250
Ce: 0.667 0.333 0.750
Pu: 0.333 0.667 0.750
Pu: 0.667 0.333 0.250
Tl: 0.000 0.000 0.000
Tl: 0.000 0.000 0.500
I: 0.000 0.361 0.369
I: 0.000 0.362 0.869
I: 0.000 0.638 0.131
I: 0.000 0.639 0.631
I: 0.361 0.000 0.869
I: 0.361 0.362 0.631
I: 0.362 0.000 0.369
I: 0.362 0.361 0.131
I: 0.638 0.000 0.631
I: 0.638 0.639 0.869
I: 0.639 0.000 0.131
I: 0.639 0.638 0.369

Values from the calculation:
density = 5.07 Mg/m³
E_tot = -4.650 eV/atom
DOS at the Fermi energy = 54.31 states/eV per cell
formation energy without anion corrections = -1102.0 meV/atom

=====

The following is a PBE-GGA calculation of an optimized crystal structure of CaVW2S, from the Alexandria database.

Unit cell a=4.460 b=4.460 c=5.761 alpha=90.00 beta=90.00 gamma=90.00
Fractional coordinates of all 5 atoms:
Ca: 0.000 0.000 0.000
V: 0.000 0.000 0.500
W: 0.000 0.500 0.500
W: 0.500 0.000 0.500
S: 0.500 0.500 0.000

Values from the calculation:
density = 7.11 Mg/m³
E_tot = -6.842 eV/atom
DOS at the Fermi energy = 5.50 states/eV per cell
formation energy without anion corrections = 1389.3 meV/atom

=====

The following is a PBE-GGA calculation of an optimized crystal structure of Ni2RuPbN, from the Alexandria database.

Unit cell a=4.012 b=4.012 c=4.101 alpha=90.00 beta=90.00 gamma=90.00
Fractional coordinates of all 5 atoms:
Ni: 0.000 0.500 0.000
Ni: 0.500 0.000 0.000
Ru: 0.000 0.000 0.500
Pb: 0.500 0.500 0.500
N: 0.000 0.000 0.000

Values from the calculation:
density = 11.06 Mg/m³
E_tot = -6.283 eV/atom
DOS at the Fermi energy = 6.25 states/eV per cell
formation energy without anion corrections = 291.4 meV/atom

=====

The following is a PBE-GGA calculation of an optimized crystal structure of SrCaOs2, from the Alexandria database.

Unit cell a=10.532 b=4.212 c=6.558 alpha=90.00 beta=123.44 gamma=90.00
Fractional coordinates of all 8 atoms:
Sr: 0.000 0.000 0.000
Sr: 0.500 0.500 0.000
Ca: 0.000 0.500 0.500
Ca: 0.500 0.000 0.500
Os: 0.247 0.000 0.580
Os: 0.253 0.500 0.420
Os: 0.747 0.500 0.580
Os: 0.753 0.000 0.420

Values from the calculation:
density = 6.95 Mg/m³
E_tot = -6.088 eV/atom
DOS at the Fermi energy = 6.19 states/eV per cell
formation energy = 0.448 eV/atom
polymorph energy (0 for the lowest one) = 0.050 eV per atom

=====

The following is a PBE-GGA calculation of an optimized crystal structure of RbLaSe2O8, from the Alexandria database.

Unit cell a=9.334 b=7.595 c=11.405 alpha=90.00 beta=91.36 gamma=90.00
Fractional coordinates of all 48 atoms:
Rb: 0.064 0.146 0.343
Rb: 0.064 0.354 0.843
Rb: 0.936 0.646 0.157
Rb: 0.936 0.854 0.657
La: 0.446 0.668 0.651
La: 0.446 0.832 0.151
La: 0.554 0.168 0.849
La: 0.554 0.332 0.349
Se: 0.231 0.659 0.411
Se: 0.231 0.841 0.911
Se: 0.320 0.166 0.610
Se: 0.320 0.334 0.110
Se: 0.680 0.666 0.890
Se: 0.680 0.834 0.390
Se: 0.769 0.159 0.089
Se: 0.769 0.341 0.589
O: 0.100 0.529 0.368
O: 0.100 0.971 0.868
O: 0.144 0.152 0.606
O: 0.144 0.348 0.106
O: 0.208 0.742 0.041
O: 0.208 0.758 0.541
O: 0.264 0.687 0.809
O: 0.264 0.813 0.309
O: 0.372 0.160 0.195
O: 0.372 0.340 0.695
O: 0.383 0.546 0.445
O: 0.383 0.954 0.945
O: 0.385 0.169 0.475
O: 0.385 0.331 0.975
O: 0.402 0.002 0.688
O: 0.402 0.498 0.188
O: 0.598 0.502 0.812
O: 0.598 0.998 0.312
O: 0.615 0.669 0.025
O: 0.615 0.831 0.525
O: 0.617 0.046 0.055
O: 0.617 0.454 0.555
O: 0.628 0.660 0.305
O: 0.628 0.840 0.805
O: 0.736 0.187 0.691
O: 0.736 0.313 0.191
O: 0.792 0.242 0.459
O: 0.792 0.258 0.959
O: 0.856 0.652 0.894
O: 0.856 0.848 0.394
O: 0.900 0.029 0.132
O: 0.900 0.471 0.632

Values from the calculation:
density = 4.19 Mg/m³
E_tot = -5.952 eV/atom
DOS at the Fermi energy = 0.00 states/eV per cell
formation energy without anion corrections = -1574.1 meV/atom
polymorph energy (0 for the lowest one) = 0.000 eV per atom

=====

The following is a PBE-GGA calculation of an optimized crystal structure of Na2LaScF8, from the Alexandria database.

Unit cell a=3.871 b=7.622 c=5.572 alpha=90.00 beta=90.33 gamma=90.00
Fractional coordinates of all 12 atoms:
Na: 0.000 0.227 0.000
Na: 0.000 0.773 0.000
La: 0.500 0.500 0.500
Sc: 0.500 0.000 0.500
F: 0.001 0.500 0.750
F: 0.004 0.000 0.287
F: 0.498 0.226 0.728
F: 0.498 0.774 0.728
F: 0.502 0.226 0.272
F: 0.502 0.774 0.272
F: 0.996 0.000 0.713
F: 0.999 0.500 0.250

Values from the calculation:
density = 3.86 Mg/m³
E_tot = -6.004 eV/atom
DOS at the Fermi energy = 0.00 states/eV per cell
formation energy without anion corrections = -3598.0 meV/atom

=====

The following is a PBE-GGA calculation of an optimized crystal structure of Dy4CdAg5, from the Alexandria database.

Unit cell a=3.586 b=3.586 c=17.985 alpha=90.00 beta=90.00 gamma=90.00
Fractional coordinates of all 10 atoms:
Dy: 0.000 0.000 0.103
Dy: 0.000 0.000 0.310
Dy: 0.000 0.000 0.690
Dy: 0.000 0.000 0.897
Cd: 0.000 0.000 0.500
Ag: 0.500 0.500 0.000
Ag: 0.500 0.500 0.206
Ag: 0.500 0.500 0.410
Ag: 0.500 0.500 0.590
Ag: 0.500 0.500 0.794

Values from the calculation:
density = 9.34 Mg/m³
E_tot = -3.629 eV/atom
DOS at the Fermi energy = 4.97 states/eV per cell
formation energy = -0.271 eV/atom

=====

The following is a PBE-GGA calculation of an optimized crystal structure of Rb3AlF8, from the Alexandria database.

Unit cell a=7.335 b=7.335 c=7.335 alpha=130.76 beta=130.76 gamma=72.19
Fractional coordinates of all 12 atoms:
Rb: 0.000 0.000 0.000
Rb: 0.250 0.750 0.500
Rb: 0.750 0.250 0.500
Al: 0.500 0.500 0.000
F: 0.212 0.212 0.620
F: 0.212 0.592 0.000
F: 0.408 0.408 0.620
F: 0.408 0.788 0.000
F: 0.592 0.212 0.000
F: 0.592 0.592 0.380
F: 0.788 0.408 0.000
F: 0.788 0.788 0.380

Values from the calculation:
density = 3.27 Mg/m³
E_tot = -4.199 eV/atom
DOS at the Fermi energy = 9.28 states/eV per cell
formation energy without anion corrections = -2397.5 meV/atom

=====

The following is a PBE-GGA calculation of an optimized crystal structure of KScTe, from the Alexandria database.

Unit cell a=4.505 b=4.505 c=10.998 alpha=90.00 beta=90.00 gamma=90.00
Fractional coordinates of all 6 atoms:
K: 0.250 0.250 0.178
K: 0.750 0.750 0.822
Sc: 0.250 0.750 0.500
Sc: 0.750 0.250 0.500
Te: 0.250 0.250 0.678
Te: 0.750 0.750 0.322

Values from the calculation:
density = 3.15 Mg/m³
E_tot = -4.279 eV/atom
DOS at the Fermi energy = 2.55 states/eV per cell
formation energy without anion corrections = -755.0 meV/atom
polymorph energy (0 for the lowest one) = 0.000 eV per atom

=====

The following is a PBE-GGA calculation of an optimized crystal structure of PrThSbTe, from the Alexandria database.

Unit cell a=4.517 b=4.517 c=6.370 alpha=90.00 beta=90.00 gamma=90.00
Fractional coordinates of all 4 atoms:
Pr: 0.000 0.000 0.000
Th: 0.500 0.500 0.500
Sb: 0.000 0.000 0.500
Te: 0.500 0.500 0.000

Values from the calculation:
density = 7.95 Mg/m³
E_tot = -6.032 eV/atom
DOS at the Fermi energy = 2.28 states/eV per cell
formation energy without anion corrections = -1165.8 meV/atom
polymorph energy (0 for the lowest one) = 0.000 eV per atom

=====

The following is a PBE-GGA calculation of an optimized crystal structure of BaReAu2, from the Alexandria database.

Unit cell a=5.310 b=5.310 c=3.088 alpha=90.00 beta=90.00 gamma=90.00
Fractional coordinates of all 4 atoms:
Ba: 0.000 0.000 0.000
Re: 0.500 0.500 0.000
Au: 0.000 0.500 0.500
Au: 0.500 0.000 0.500

Values from the calculation:
density = 13.68 Mg/m³
E_tot = -4.599 eV/atom
DOS at the Fermi energy = 3.98 states/eV per cell
formation energy = 0.632 eV/atom
polymorph energy (0 for the lowest one) = 0.401 eV per atom

=====

Q: E_tot of number 5 (RbLaSe2O8)?
A: -5.952 eV/atom

=====

Q: Look up the E_tot of the seventh one.
A: -3.629 eV/atom

=====

Q: What is the formula in the tenth record?
A: PrThSbTe